No. 1
{"formula": "LiMnSi", "functional": "PBE", "state": "optimized geometry", "lattice_angstrom": [[6.276, 0.088, -0.073], [5.711, 2.597, 0.221], [0.565, -0.167, 2.521]], "species": ["Si", "Li", "Mn"], "fractional_positions": [[0.676, 0.676, 0.324], [0.006, 0.006, 0.994], [0.318, 0.318, 0.682]], "dos_at_fermi_per_ev_fu": 2.1, "formation_energy_uncorrected_ev_per_atom": 0.002}

=====

No. 2
{"formula": "Nd2Y7Mg2", "functional": "PBE", "state": "optimized geometry", "lattice_angstrom": [[8.404, 1.002, 1.445], [0.547, 6.510, 0.748], [0.547, -1.586, 6.358]], "species": ["Y", "Mg", "Mg", "Nd", "Y", "Y", "Y", "Y", "Y", "Nd", "Y"], "fractional_positions": [[0.584, 0.146, 0.146], [0.835, 0.384, 0.384], [0.165, 0.616, 0.616], [0.500, 0.317, 0.683], [0.176, 0.117, 0.475], [0.416, 0.854, 0.854], [0.824, 0.883, 0.525], [0.000, 0.000, 0.000], [0.176, 0.475, 0.117], [0.500, 0.683, 0.317], [0.824, 0.525, 0.883]], "dos_at_fermi_per_ev_fu": 14.6, "formation_enthalpy_0k_ev_per_atom": 0.048}

=====

No. 3
{"formula": "TaTlI6", "functional": "PBE", "state": "optimized geometry", "lattice_angstrom": [[-6.936, 1.780, 2.842], [-2.694, -7.185, -0.681], [3.466, -2.718, 11.092]], "species": ["I", "I", "I", "I", "I", "Ta", "I", "Ta", "Tl", "I", "I", "I", "I", "I", "I", "Tl"], "fractional_positions": [[0.807, 0.819, 0.500], [0.707, 0.337, 0.573], [0.542, 0.088, 0.220], [0.181, 0.193, 0.000], [0.193, 0.181, 0.500], [0.000, 0.500, 0.500], [0.337, 0.707, 0.073], [0.500, 0.000, 0.000], [0.958, 0.042, 0.750], [0.088, 0.542, 0.720], [0.912, 0.458, 0.280], [0.819, 0.807, 0.000], [0.663, 0.293, 0.927], [0.458, 0.912, 0.780], [0.293, 0.663, 0.427], [0.042, 0.958, 0.250]], "formation_energy_uncorrected_ev_per_atom": -0.487, "de_polymorph_mev_per_atom": 0.0}